The following is a GGA-PBEsol calculation of Mg2Se after structural relaxation, from Alexandria.

Calculated values
Crystal system: tetragonal
Formation energy without anion corrections, eV per atom: -0.57
M_tot, μB per formula unit: 0.00

abc: 5.596 5.596 5.596
angles: 114.90 114.90 99.09
Fractional positions:
Mg (0.177, 0.677, 0.854)
Mg (0.323, 0.177, 0.500)
Mg (0.677, 0.823, 0.500)
Mg (0.823, 0.323, 0.146)
Se (0.250, 0.250, 0.000)
Se (0.750, 0.750, 0.000)